# ZrTa2Cd

A PBEsol-optimized structure of ZrTa2Cd (meta-GGA SCAN, Alexandria via LeMat-Bulk).

Lattice parameters (Å, degrees): 5.3750 5.3750 5.3750 135.05 135.05 65.45
Element x y z (fractional)
1 Zr 0.0000 0.0000 0.0000
2 Ta 0.2500 0.7500 0.5000
3 Ta 0.7500 0.2500 0.5000
4 Cd 0.5000 0.5000 0.0000

As for the space group: No. 139. Its total moment is 0.000 μB/cell. As for the total DFT energy (no corrections): -193.59 eV per cell.


# AsAu2S

A PBEsol-optimized structure of AsAu2S (meta-GGA SCAN, Alexandria via LeMat-Bulk).

Lattice parameters (Å, degrees): 6.2004 6.2004 6.2004 119.30 119.30 91.23
Element x y z (fractional)
1 As 0.0000 0.0000 0.0000
2 As 0.7500 0.2500 0.5000
3 Au 0.1308 0.1250 0.5058
4 Au 0.3750 0.8692 0.9942
5 Au 0.6192 0.6250 0.4942
6 Au 0.8750 0.3808 0.0058
7 S 0.2500 0.7500 0.5000
8 S 0.5000 0.5000 0.0000

As for the space group: No. 122. The value obtained for the uncorrected formation energy is 0.102 eV per atom. Its total moment is 0.000 μB/cell.


# ReNi4Mo

A PBEsol-optimized structure of ReNi4Mo (meta-GGA SCAN, Alexandria via LeMat-Bulk).

Lattice parameters (Å, degrees): 4.6168 4.6168 4.6168 60.00 60.00 60.00
Element x y z (fractional)
1 Re 0.0000 0.0000 0.0000
2 Ni 0.3748 0.3748 0.3748
3 Ni 0.3748 0.3748 0.8755
4 Ni 0.3748 0.8755 0.3748
5 Ni 0.8755 0.3748 0.3748
6 Mo 0.7500 0.7500 0.7500

As for the space group: No. 216. Its total moment is 1.142 μB/cell. As for the total DFT energy (no corrections): -170.65 eV per cell.


# FeTe2Ir

A PBEsol-optimized structure of FeTe2Ir (meta-GGA SCAN, Alexandria via LeMat-Bulk).

Lattice parameters (Å, degrees): 6.7413 6.7413 6.7413 33.70 33.70 33.70
Element x y z (fractional)
1 Fe 0.0000 0.0000 0.0000
2 Te 0.5455 0.5455 0.5455
3 Te 0.7348 0.7348 0.7348
4 Ir 0.2867 0.2867 0.2867

As for the space group: No. 160. The value obtained for the uncorrected formation energy is -0.045 eV per atom. Its total moment is 2.109 μB/cell. As for the energy above the lowest structure with this stoichiometry: 0.000 eV/atom.


# SrCo2Ir

A PBEsol-optimized structure of SrCo2Ir (meta-GGA SCAN, Alexandria via LeMat-Bulk).

Lattice parameters (Å, degrees): 4.0021 6.0517 6.0517 26.56 90.00 90.00
Element x y z (fractional)
1 Sr 0.0000 0.0000 0.0000
2 Co 0.0000 0.7508 0.7508
3 Co 0.5000 0.6513 0.6513
4 Ir 0.5000 0.3209 0.3209

As for the space group: No. 38. Its total moment is 4.155 μB/cell. As for the total DFT energy (no corrections): -126.29 eV per cell.


# KSi3O

A PBEsol-optimized structure of KSi3O (meta-GGA SCAN, Alexandria via LeMat-Bulk).

Lattice parameters (Å, degrees): 4.4273 4.4273 4.4273 90.00 90.00 90.00
Element x y z (fractional)
1 K 0.0000 0.0000 0.0000
2 Si 0.0000 0.5000 0.5000
3 Si 0.5000 0.0000 0.5000
4 Si 0.5000 0.5000 0.0000
5 O 0.5000 0.5000 0.5000

As for the space group: No. 221. The value obtained for the uncorrected formation energy is 0.541 eV per atom. Its total moment is 0.000 μB/cell.


# ZnSnBr2

A PBEsol-optimized structure of ZnSnBr2 (meta-GGA SCAN, Alexandria via LeMat-Bulk).

Lattice parameters (Å, degrees): 10.3849 10.3849 10.3849 22.84 22.84 22.84
Element x y z (fractional)
1 Zn 0.0000 0.0000 0.0000
2 Sn 0.5000 0.5000 0.5000
3 Br 0.1078 0.1078 0.1078
4 Br 0.8922 0.8922 0.8922

As for the space group: No. 166. The value obtained for the uncorrected formation energy is -0.184 eV per atom. Its total moment is 0.000 μB/cell. As for the energy above the lowest structure with this stoichiometry: 0.000 eV/atom.


# Tl2AsW

A PBEsol-optimized structure of Tl2AsW (meta-GGA SCAN, Alexandria via LeMat-Bulk).

Lattice parameters (Å, degrees): 3.0135 3.0135 10.3782 90.00 90.00 110.31
Element x y z (fractional)
1 Tl 0.0000 0.0000 0.0000
2 Tl 0.5000 0.5000 0.2913
3 As 0.0000 0.0000 0.5887
4 W 0.5000 0.5000 0.7629

As for the space group: No. 35. Its total moment is 0.000 μB/cell. As for the energy above the lowest structure with this stoichiometry: 0.000 eV/atom.


# Cs3CaZr

A PBEsol-optimized structure of Cs3CaZr (meta-GGA SCAN, Alexandria via LeMat-Bulk).

Lattice parameters (Å, degrees): 7.0332 7.0332 7.0332 90.00 90.00 90.00
Element x y z (fractional)
1 Cs 0.0000 0.0000 0.5000
2 Cs 0.0000 0.5000 0.0000
3 Cs 0.5000 0.0000 0.0000
4 Ca 0.5000 0.5000 0.5000
5 Zr 0.0000 0.0000 0.0000

As for the space group: No. 221. Its total moment is 5.060 μB/cell. As for the total DFT energy (no corrections): -148.67 eV per cell.


# KTe3O6F

A PBEsol-optimized structure of KTe3O6F (meta-GGA SCAN, Alexandria via LeMat-Bulk).

Lattice parameters (Å, degrees): 7.1325 7.1325 7.1325 83.14 83.14 83.14
Element x y z (fractional)
1 K 0.1521 0.1521 0.1521
2 K 0.8479 0.8479 0.8479
3 Te 0.1262 0.6369 0.3546
4 Te 0.3546 0.1262 0.6369
5 Te 0.3631 0.6454 0.8738
6 Te 0.6369 0.3546 0.1262
7 Te 0.6454 0.8738 0.3631
8 Te 0.8738 0.3631 0.6454
9 O 0.0476 0.5487 0.6524
10 O 0.0605 0.1438 0.6551
11 O 0.1438 0.6551 0.0605
12 O 0.3449 0.9395 0.8562
13 O 0.3476 0.9524 0.4513
14 O 0.4513 0.3476 0.9524
15 O 0.5487 0.6524 0.0476
16 O 0.6524 0.0476 0.5487
17 O 0.6551 0.0605 0.1438
18 O 0.8562 0.3449 0.9395
19 O 0.9395 0.8562 0.3449
20 O 0.9524 0.4513 0.3476
21 F 0.3474 0.3474 0.3474
22 F 0.6526 0.6526 0.6526

As for the space group: No. 148. The value obtained for the uncorrected formation energy is -1.446 eV per atom. Its total moment is 0.000 μB/cell.


# ZrAl2Te

A PBEsol-optimized structure of ZrAl2Te (meta-GGA SCAN, Alexandria via LeMat-Bulk).

Lattice parameters (Å, degrees): 3.0807 3.0807 8.7992 90.00 90.00 96.37
Element x y z (fractional)
1 Zr 0.0000 0.0000 0.0000
2 Al 0.5000 0.5000 0.2263
3 Al 0.5000 0.5000 0.7737
4 Te 0.0000 0.0000 0.5000

As for the space group: No. 65. The value obtained for the uncorrected formation energy is 0.000 eV per atom. Its total moment is 0.000 μB/cell.


# TiBe2Zn

A PBEsol-optimized structure of TiBe2Zn (meta-GGA SCAN, Alexandria via LeMat-Bulk).

Lattice parameters (Å, degrees): 7.9413 7.9413 7.9413 151.96 151.96 40.07
Element x y z (fractional)
1 Ti 0.3750 0.6250 0.7500
2 Ti 0.6250 0.3750 0.2500
3 Be 0.0000 0.0000 0.0000
4 Be 0.0000 0.0000 0.5000
5 Be 0.0000 0.5000 0.0000
6 Be 0.5000 0.0000 0.5000
7 Zn 0.1250 0.8750 0.2500
8 Zn 0.8750 0.1250 0.7500

As for the space group: No. 141. Its total moment is 0.000 μB/cell. As for the total DFT energy (no corrections): -73.19 eV per cell.